# Li4Mn3V3Ni2O16 | Alexandria via LeMat-Bulk | PBE with a Hubbard U | relaxed
# Density, kg/m3: 4170
# VASP energy, eV per atom: -6.6039
data_Li4Mn3V3Ni2O16
_space_group_name_H-M_alt 'P 1'
_space_group_IT_number 1
_space_group_name_Hall 'P 1'
_cell_length_a 5.866
_cell_length_b 5.866
_cell_length_c 9.651
_cell_angle_alpha 90.02
_cell_angle_beta 90.02
_cell_angle_gamma 59.54
loop_
_atom_site_label
_atom_site_type_symbol
_atom_site_fract_x
_atom_site_fract_y
_atom_site_fract_z
_atom_site_occupancy
Li1 Li 0.000 0.000 0.000 1
Li2 Li 0.010 0.010 0.499 1
Li3 Li 0.333 0.333 0.391 1
Li4 Li 0.668 0.668 0.892 1
Mn1 Mn 0.173 0.173 0.717 1
Mn2 Mn 0.338 0.832 0.217 1
Mn3 Mn 0.832 0.338 0.217 1
V1 V 0.173 0.667 0.716 1
V2 V 0.667 0.173 0.716 1
V3 V 0.832 0.832 0.214 1
Ni1 Ni 0.331 0.331 0.992 1
Ni2 Ni 0.668 0.668 0.489 1
O1 O 0.004 0.004 0.314 1
O2 O 0.008 0.008 0.815 1
O3 O 0.038 0.485 0.833 1
O4 O 0.157 0.157 0.107 1
O5 O 0.158 0.680 0.109 1
O6 O 0.323 0.844 0.608 1
O7 O 0.332 0.332 0.607 1
O8 O 0.484 0.484 0.830 1
O9 O 0.485 0.038 0.833 1
O10 O 0.516 0.966 0.329 1
O11 O 0.519 0.519 0.333 1
O12 O 0.663 0.663 0.108 1
O13 O 0.680 0.158 0.109 1
O14 O 0.844 0.323 0.608 1
O15 O 0.847 0.847 0.607 1
O16 O 0.966 0.516 0.329 1